1.
Here is a geometry-optimized TiCu4Pt structure from Alexandria via LeMat-Bulk. Energies are from PBE.

Properties
* crystal system: cubic
* energy of formation: -260 meV/atom
* ρ: 10.53 g/cm3
* VASP energy: -0.1953 hartree per atom

a = 4.8047 Å, b = 4.8047 Å, c = 4.8047 Å
α = 60.00°, β = 60.00°, γ = 60.00°
Fractional positions:
1 Cu 0.6251 0.6251 0.1246
2 Cu 0.6251 0.1246 0.6251
3 Cu 0.6251 0.6251 0.6251
4 Cu 0.1246 0.6251 0.6251
5 Pt 0.0000 0.0000 0.0000
6 Ti 0.2500 0.2500 0.2500

2.
Here is a geometry-optimized Ti2Cu2Pt structure from Alexandria via LeMat-Bulk. Energies are from PBE.

Properties
* crystal system: orthorhombic
* energy of formation: -242 meV/atom
* ρ: 9.47 g/cm3
* VASP energy: -0.2296 hartree per atom
* polymorph energy (0 for the lowest one): 0 meV per atom

a = 3.3136 Å, b = 6.2779 Å, c = 8.6308 Å
α = 123.02°, β = 101.07°, γ = 90.00°
Fractional positions:
1 Ti 0.1924 0.0386 0.3848
2 Ti 0.1924 0.5386 0.3848
3 Ti 0.8076 0.9614 0.6152
4 Ti 0.8076 0.4614 0.6152
5 Cu 0.4035 0.3554 0.8071
6 Cu 0.5965 0.1446 0.1929
7 Cu 0.5965 0.6446 0.1929
8 Cu 0.4035 0.8554 0.8071
9 Pt 0.0000 0.7500 0.0000
10 Pt 0.0000 0.2500 0.0000

Number 1: Fermi-level density of states 4.51 states/eV/cell. Number 2: Fermi-level density of states 6.49 states/eV/cell.